[1]
# Tb4PmRh4

Tb4PmRh4 after structural relaxation (PBE, Alexandria).

Results
- volume (Å³/atom) = 24.8
- space group = P4_2/n
- energy relative to the elements (meV per atom) = -641

```
data_Tb4PmRh4
_chemical_formula_sum 'Tb8 Pm2 Rh8'
_symmetry_space_group_name_H-M 'P 1'
_symmetry_Int_Tables_number 1
_cell_length_a 8.888
_cell_length_b 8.888
_cell_length_c 5.644
_cell_angle_alpha 90.00
_cell_angle_beta 90.00
_cell_angle_gamma 90.00
loop_
_symmetry_equiv_pos_as_xyz
'x,y,z'
loop_
_atom_site_label
_atom_site_type_symbol
_atom_site_fract_x
_atom_site_fract_y
_atom_site_fract_z
Tb1 Tb 0.071 0.660 0.164
Tb2 Tb 0.160 0.929 0.664
Tb3 Tb 0.340 0.571 0.664
Tb4 Tb 0.429 0.840 0.164
Tb5 Tb 0.571 0.160 0.836
Tb6 Tb 0.660 0.429 0.336
Tb7 Tb 0.840 0.071 0.336
Tb8 Tb 0.929 0.340 0.836
Pm1 Pm 0.250 0.250 0.250
Pm2 Pm 0.750 0.750 0.750
Rh1 Rh 0.033 0.624 0.661
Rh2 Rh 0.124 0.967 0.161
Rh3 Rh 0.376 0.533 0.161
Rh4 Rh 0.467 0.876 0.661
Rh5 Rh 0.533 0.124 0.339
Rh6 Rh 0.624 0.467 0.839
Rh7 Rh 0.876 0.033 0.839
Rh8 Rh 0.967 0.376 0.339
```

=====

[2]
# Cd5BiPb4

Cd5BiPb4 after structural relaxation (PBE, Alexandria).

Results
- volume (Å³/atom) = 28.6
- space group = Pmmn
- energy relative to the elements (meV per atom) = 55

```
data_Cd5BiPb4
_chemical_formula_sum 'Cd10 Bi2 Pb8'
_symmetry_space_group_name_H-M 'P 1'
_symmetry_Int_Tables_number 1
_cell_length_a 9.665
_cell_length_b 10.536
_cell_length_c 5.611
_cell_angle_alpha 90.00
_cell_angle_beta 90.00
_cell_angle_gamma 90.00
loop_
_symmetry_equiv_pos_as_xyz
'x,y,z'
loop_
_atom_site_label
_atom_site_type_symbol
_atom_site_fract_x
_atom_site_fract_y
_atom_site_fract_z
Cd1 Cd 0.083 0.007 0.221
Cd2 Cd 0.083 0.493 0.221
Cd3 Cd 0.250 0.750 0.199
Cd4 Cd 0.417 0.007 0.221
Cd5 Cd 0.417 0.493 0.221
Cd6 Cd 0.583 0.507 0.779
Cd7 Cd 0.583 0.993 0.779
Cd8 Cd 0.750 0.250 0.801
Cd9 Cd 0.917 0.507 0.779
Cd10 Cd 0.917 0.993 0.779
Bi1 Bi 0.250 0.250 0.032
Bi2 Bi 0.750 0.750 0.968
Pb1 Pb 0.051 0.250 0.556
Pb2 Pb 0.250 0.586 0.718
Pb3 Pb 0.250 0.914 0.718
Pb4 Pb 0.449 0.250 0.556
Pb5 Pb 0.551 0.750 0.444
Pb6 Pb 0.750 0.086 0.282
Pb7 Pb 0.750 0.414 0.282
Pb8 Pb 0.949 0.750 0.444
```

=====

[3]
# BeCd2GeO5

BeCd2GeO5 after structural relaxation (PBE, Alexandria).

Results
- volume (Å³/atom) = 11.3
- space group = Cmc2_1
- energy relative to the elements, uncorrected (eV per atom) = -1.546

```
data_BeCd2GeO5
_chemical_formula_sum 'Be2 Cd4 Ge2 O10'
_symmetry_space_group_name_H-M 'P 1'
_symmetry_Int_Tables_number 1
_cell_length_a 6.697
_cell_length_b 6.697
_cell_length_c 10.485
_cell_angle_alpha 90.00
_cell_angle_beta 90.00
_cell_angle_gamma 154.30
loop_
_symmetry_equiv_pos_as_xyz
'x,y,z'
loop_
_atom_site_label
_atom_site_type_symbol
_atom_site_fract_x
_atom_site_fract_y
_atom_site_fract_z
Be1 Be 0.071 0.929 0.500
Be2 Be 0.929 0.071 0.000
Cd1 Cd 0.367 0.633 0.408
Cd2 Cd 0.428 0.572 0.730
Cd3 Cd 0.572 0.428 0.230
Cd4 Cd 0.633 0.367 0.908
Ge1 Ge 0.290 0.710 0.115
Ge2 Ge 0.710 0.290 0.615
O1 O 0.004 0.996 0.373
O2 O 0.149 0.851 0.093
O3 O 0.199 0.801 0.490
O4 O 0.210 0.790 0.737
O5 O 0.436 0.564 0.083
O6 O 0.564 0.436 0.583
O7 O 0.790 0.210 0.237
O8 O 0.801 0.199 0.990
O9 O 0.851 0.149 0.593
O10 O 0.996 0.004 0.873
```